Density functional theory data (PBE) for a relaxed structure of Dy3Hg2Au3.

a = 10.447 Å, b = 10.447 Å, c = 10.447 Å
α = 159.47°, β = 152.23°, γ = 34.78°
Atoms (fractional coordinates):
1 Dy 0.000 0.000 0.000
2 Dy 0.369 0.869 0.500
3 Dy 0.631 0.131 0.500
4 Hg 0.238 0.238 0.000
5 Hg 0.762 0.762 0.000
6 Au 0.116 0.616 0.500
7 Au 0.500 0.500 0.000
8 Au 0.884 0.384 0.500

Computed properties:
ΔE to the lowest computed polymorph = 0 meV/atom
Calculated total energy = -3.69 eV per atom

***

Density functional theory data (PBE) for a relaxed structure of YAlV2P.

a = 4.617 Å, b = 4.617 Å, c = 5.372 Å
α = 90.00°, β = 90.00°, γ = 90.00°
Atoms (fractional coordinates):
1 Y 0.000 0.000 0.000
2 Al 0.000 0.000 0.500
3 V 0.000 0.500 0.500
4 V 0.500 0.000 0.500
5 P 0.500 0.500 0.000

Computed properties:
Calculated total energy = -5.92 eV per atom

***

Density functional theory data (PBE) for a relaxed structure of HoGaPd3.

a = 9.189 Å, b = 9.189 Å, c = 9.189 Å
α = 147.47°, β = 147.47°, γ = 46.67°
Atoms (fractional coordinates):
1 Ho 0.115 0.115 0.000
2 Ho 0.885 0.885 0.000
3 Ga 0.250 0.750 0.500
4 Ga 0.500 0.500 0.000
5 Pd 0.373 0.126 0.753
6 Pd 0.373 0.619 0.247
7 Pd 0.381 0.627 0.753
8 Pd 0.529 0.029 0.500
9 Pd 0.874 0.627 0.247
10 Pd 0.971 0.471 0.500

Computed properties:
Calculated total energy = -5.08 eV per atom

***

Density functional theory data (PBE) for a relaxed structure of SrCdNiH6.

a = 4.748 Å, b = 4.748 Å, c = 4.804 Å
α = 90.00°, β = 90.00°, γ = 120.00°
Atoms (fractional coordinates):
1 Sr 0.000 0.000 0.000
2 Cd 0.333 0.667 0.500
3 Ni 0.667 0.333 0.500
4 H 0.525 0.051 0.255
5 H 0.525 0.051 0.745
6 H 0.525 0.475 0.255
7 H 0.525 0.475 0.745
8 H 0.949 0.475 0.255
9 H 0.949 0.475 0.745

Computed properties:
Calculated total energy = -3.28 eV per atom

***

Density functional theory data (PBE) for a relaxed structure of Ac4ZnN.

a = 9.894 Å, b = 7.482 Å, c = 5.734 Å
α = 90.00°, β = 90.00°, γ = 90.00°
Atoms (fractional coordinates):
1 Ac 0.000 0.112 0.000
2 Ac 0.000 0.795 0.505
3 Ac 0.205 0.295 0.507
4 Ac 0.295 0.705 0.007
5 Ac 0.500 0.205 0.005
6 Ac 0.500 0.888 0.500
7 Ac 0.705 0.705 0.007
8 Ac 0.795 0.295 0.507
9 Zn 0.000 0.526 0.009
10 Zn 0.500 0.474 0.509
11 N 0.000 0.119 0.546
12 N 0.500 0.881 0.046

Computed properties:
ΔE_f (raw) = -0.39 eV per atom
Calculated total energy = -4.73 eV per atom

***

Density functional theory data (PBE) for a relaxed structure of La3SbH.

a = 5.039 Å, b = 5.039 Å, c = 5.039 Å
α = 90.00°, β = 90.00°, γ = 90.00°
Atoms (fractional coordinates):
1 La 0.000 0.000 0.500
2 La 0.000 0.500 0.000
3 La 0.500 0.000 0.000
4 Sb 0.500 0.500 0.500
5 H 0.000 0.000 0.000

Computed properties:
ΔE to the lowest computed polymorph = 51 meV/atom
Calculated total energy = -5.10 eV per atom

***

Density functional theory data (PBE) for a relaxed structure of KLi2Ir.

a = 10.966 Å, b = 10.966 Å, c = 10.966 Å
α = 15.48°, β = 15.48°, γ = 15.48°
Atoms (fractional coordinates):
1 K 0.000 0.000 0.000
2 Li 0.228 0.228 0.228
3 Li 0.772 0.772 0.772
4 Ir 0.500 0.500 0.500

Computed properties:
ΔE to the lowest computed polymorph = 199 meV/atom
Calculated total energy = -3.03 eV per atom

***

Density functional theory data (PBE) for a relaxed structure of Li2InPb8.

a = 9.020 Å, b = 9.020 Å, c = 6.000 Å
α = 107.07°, β = 107.07°, γ = 42.73°
Atoms (fractional coordinates):
1 Li 0.239 0.239 0.384
2 Li 0.761 0.761 0.616
3 In 0.500 0.500 0.000
4 Pb 0.091 0.091 0.963
5 Pb 0.154 0.646 0.504
6 Pb 0.296 0.296 0.931
7 Pb 0.354 0.846 0.496
8 Pb 0.646 0.154 0.504
9 Pb 0.704 0.704 0.069
10 Pb 0.846 0.354 0.496
11 Pb 0.909 0.909 0.037

Computed properties:
ΔE to the lowest computed polymorph = 31 meV/atom
Calculated total energy = -3.33 eV per atom

***

Density functional theory data (PBE) for a relaxed structure of Ti2FeSi.

a = 5.431 Å, b = 5.431 Å, c = 5.431 Å
α = 103.18°, β = 103.18°, γ = 122.95°
Atoms (fractional coordinates):
1 Ti 0.089 0.625 0.964
2 Ti 0.375 0.339 0.464
3 Ti 0.661 0.125 0.036
4 Ti 0.875 0.911 0.536
5 Fe 0.000 0.000 0.000
6 Fe 0.750 0.250 0.500
7 Si 0.250 0.750 0.500
8 Si 0.500 0.500 0.000

Computed properties:
ΔE_f (raw) = 0.03 eV per atom
Calculated total energy = -7.39 eV per atom

***

Density functional theory data (PBE) for a relaxed structure of SiIrPb2.

a = 4.742 Å, b = 4.742 Å, c = 3.851 Å
α = 90.00°, β = 90.00°, γ = 90.00°
Atoms (fractional coordinates):
1 Si 0.000 0.000 0.000
2 Ir 0.500 0.500 0.000
3 Pb 0.000 0.500 0.500
4 Pb 0.500 0.000 0.500

Computed properties:
ΔE_f (raw) = 0.63 eV per atom
Calculated total energy = -4.79 eV per atom

***

Density functional theory data (PBE) for a relaxed structure of CaErInSn.

a = 5.360 Å, b = 5.360 Å, c = 5.360 Å
α = 60.00°, β = 60.00°, γ = 60.00°
Atoms (fractional coordinates):
1 Ca 0.000 0.000 0.000
2 Er 0.500 0.500 0.500
3 In 0.250 0.250 0.250
4 Sn 0.750 0.750 0.750

Computed properties:
Calculated total energy = -3.81 eV per atom

***

Density functional theory data (PBE) for a relaxed structure of Ac5Al2Ge4.

a = 10.425 Å, b = 10.425 Å, c = 7.798 Å
α = 104.71°, β = 104.71°, γ = 25.05°
Atoms (fractional coordinates):
1 Ac 0.000 0.000 0.000
2 Ac 0.336 0.336 0.056
3 Ac 0.348 0.348 0.579
4 Ac 0.652 0.652 0.421
5 Ac 0.664 0.664 0.944
6 Al 0.073 0.073 0.626
7 Al 0.927 0.927 0.374
8 Ge 0.208 0.208 0.708
9 Ge 0.484 0.484 0.320
10 Ge 0.516 0.516 0.680
11 Ge 0.792 0.792 0.292

Computed properties:
Calculated total energy = -4.63 eV per atom

***

Number 1: Fermi-level density of states 0.528 states/eV per atom. Number 2: Fermi-level density of states 0.982 states/eV per atom. Number 3: Fermi-level density of states 0.449 states/eV per atom. Number 4: Fermi-level density of states 0.100 states/eV per atom. Number 5: Fermi-level density of states 0.917 states/eV per atom. Number 6: Fermi-level density of states 0.914 states/eV per atom. Number 7: Fermi-level density of states 0.883 states/eV per atom. Number 8: Fermi-level density of states 0.317 states/eV per atom. Number 9: Fermi-level density of states 1.287 states/eV per atom. Number 10: Fermi-level density of states 0.715 states/eV per atom. Number 11: Fermi-level density of states 0.512 states/eV per atom. Number 12: Fermi-level density of states 0.928 states/eV per atom.